This record from Alexandria via LeMat-Bulk describes a geometry-optimized Ba2CuBr structure. The functional is PBE-GGA.

Geometry as POSCAR:
```
Ba2CuBr
1.0
3.995 0.195 0.000
-0.196 3.995 0.000
0.000 0.000 8.603
Ba Br Cu
2 1 1
Direct
0.000 0.000 0.528
0.000 0.000 0.972
0.500 0.500 0.250
0.500 0.500 0.750
```

Summary:
- Crystal system: tetragonal
- Size of the total moment: 0.00 μB/f.u.
- E_form (uncorrected): -0.7000 eV/atom
- Space group: No. 123

This record from Alexandria via LeMat-Bulk describes a geometry-optimized BaCu2Br structure. The functional is PBE-GGA.

Geometry as POSCAR:
```
BaCu2Br
1.0
-2.127 -3.240 -2.462
1.937 -2.992 2.264
-3.706 -1.524 5.207
Br Cu Ba
1 2 1
Direct
0.500 0.828 0.707
0.000 0.137 0.111
0.500 0.098 0.185
0.000 0.437 0.497
```

Summary:
- Crystal system: monoclinic
- Size of the total moment: 0.00 μB/f.u.
- E_form (uncorrected): -0.3207 eV/atom
- Space group: No. 6